Entry 1:
Density functional theory data (PBE) for La2IrCl after structural relaxation.

Lattice parameters (Å, degrees): 5.3861 5.3861 4.3500 113.74 113.74 90.28
Positions (direct):
La: 0.2383 0.7617 0.0000
La: 0.7617 0.2383 0.0000
Ir: 0.0000 0.0000 0.5000
Cl: 0.5000 0.5000 0.5000

Output
**Total energy**: -6.183 eV per atom
**D(E_F)**: 0.476 states/eV per atom
**Formation energy (no corrections)**: -1.04 eV per atom
**Symmetry**: C2/m (12)
**E above lowest polymorph**: 295 meV per atom

=====

Entry 2:
Density functional theory data (PBE) for TbNdPdRu after structural relaxation.

Lattice parameters (Å, degrees): 3.4754 3.4754 7.2155 90.00 90.00 90.00
Positions (direct):
Tb: 0.0000 0.0000 0.0000
Nd: 0.0000 0.0000 0.5216
Pd: 0.5000 0.5000 0.2422
Ru: 0.5000 0.5000 0.7695

Output
**Total energy**: -6.525 eV per atom
**D(E_F)**: 0.409 states/eV per atom
**Calculated formation energy**: -0.558 eV per atom
**Symmetry**: P4mm (99)
**E above lowest polymorph**: 0 meV per atom